one.
In2Cu2Hg | GGA-PBE | optimized geometry

Summary:
V = 213.8 Å³ per cell
total magnetization = 0.00 μB/cell

Lattice parameters (Å, degrees): 4.337 4.337 11.364 90.00 90.00 90.00
Space group I4/mmm (No. 139)
Unique sites:
In 0.000 0.500 0.250
Cu 0.000 0.000 0.105
Hg 0.000 0.000 0.500

two.
In2Cu2Hg | GGA-PBE | optimized geometry

Summary:
V = 195.6 Å³ per cell
total magnetization = 0.00 μB/cell

Lattice parameters (Å, degrees): 7.076 7.076 3.906 90.00 90.00 90.00
Space group P4/mbm (No. 127)
Unique sites:
In 0.167 0.333 0.000
Cu 0.127 0.627 0.500
Hg 0.000 0.000 0.500

two wins, 146 meV/atom ahead of the next structure.

one.
InCu2Hg | GGA-PBE | optimized geometry

Summary:
V = 220.9 Å³ per cell
total magnetization = 0.00 μB/cell

Lattice parameters (Å, degrees): 3.2096 3.2096 24.7559 90.00 90.00 120.00
Space group R-3m (No. 166, hexagonal axes)
Unique sites:
In 0.0000 0.0000 0.0000
Cu 0.0000 0.0000 0.2509
Hg 0.0000 0.0000 0.5000

two.
InCu2Hg | GGA-PBE | optimized geometry

Summary:
V = 71.2 Å³ per cell
total magnetization = 0.00 μB/cell

Lattice parameters (Å, degrees): 3.116 3.427 6.671 90.00 90.00 90.00
Space group Pmm2 (No. 25)
Unique sites:
In 0.000 0.000 0.000
Cu 0.000 0.000 0.415
Cu 0.500 0.500 0.249
Hg 0.500 0.500 0.663

three.
InCu2Hg | GGA-PBE | optimized geometry

Summary:
V = 69.2 Å³ per cell
total magnetization = 0.00 μB/cell

Lattice parameters (Å, degrees): 3.396 3.441 5.921 90.00 90.00 90.00
Space group Pmmm (No. 47)
Unique sites:
In 0.000 0.000 0.000
Cu 0.500 0.500 0.249
Hg 0.000 0.000 0.500

two wins, 22 meV/atom ahead of the next structure.

one.
InCu2Hg | GGA-PBE | optimized geometry

Summary:
V = 143.3 Å³ per cell
total magnetization = 0.00 μB/cell

Lattice parameters (Å, degrees): 2.965 4.525 10.678 90.00 90.00 90.00
Space group Imm2 (No. 44)
Unique sites:
In 0.000 0.000 0.000
Cu 0.000 0.000 0.446
Cu 0.000 0.500 0.754
Hg 0.000 0.500 0.209

two.
InCu2Hg | GGA-PBE | optimized geometry

Summary:
V = 69.5 Å³ per cell
total magnetization = 0.00 μB/cell

Lattice parameters (Å, degrees): 3.108 4.456 5.019 90.00 92.49 90.00
Space group Pm (No. 6)
Unique sites:
In 0.000 0.000 0.000
Cu 0.505 0.500 0.145
Cu 0.531 0.000 0.460
Hg 0.037 0.500 0.608

three.
InCu2Hg | GGA-PBE | optimized geometry

Summary:
V = 274.7 Å³ per cell
total magnetization = 0.00 μB/cell

Lattice parameters (Å, degrees): 6.500 6.500 6.500 90.00 90.00 90.00
Space group Fm-3m (No. 225)
Unique sites:
In 0.000 0.000 0.000
Cu 0.250 0.250 0.250
Hg 0.000 0.000 0.500

four.
InCu2Hg | GGA-PBE | optimized geometry

Summary:
V = 279.5 Å³ per cell
total magnetization = 0.00 μB/cell

Lattice parameters (Å, degrees): 6.538 6.538 6.538 90.00 90.00 90.00
Space group F-43m (No. 216)
Unique sites:
In 0.000 0.000 0.000
Cu 0.000 0.000 0.500
Cu 0.250 0.250 0.250
Hg 0.250 0.250 0.750

two wins, 10 meV/atom ahead of the next structure.

one.
InCu2Hg | GGA-PBE | optimized geometry

Summary:
V = 311.9 Å³ per cell
total magnetization = 0.00 μB/cell

Lattice parameters (Å, degrees): 7.363 7.363 5.753 90.00 90.00 90.00
Space group I-42d (No. 122)
Unique sites:
In 0.000 0.000 0.000
Cu 0.249 0.250 0.625
Hg 0.000 0.000 0.500

two.
InCu2Hg | GGA-PBE | optimized geometry

Summary:
V = 138.7 Å³ per cell
total magnetization = 0.00 μB/cell

Lattice parameters (Å, degrees): 4.020 4.020 8.582 90.00 90.00 90.00
Space group I-4m2 (No. 119)
Unique sites:
In 0.000 0.000 0.000
Cu 0.000 0.000 0.500
Cu 0.000 0.500 0.750
Hg 0.000 0.500 0.250

two wins, 137 meV/atom ahead of the next structure.

one.
KIn2CuHg | GGA-PBE | optimized geometry

Summary:
V = 161.0 Å³ per cell
total magnetization = 0.00 μB/cell

Lattice parameters (Å, degrees): 5.024 5.024 6.376 90.00 90.00 90.00
Space group P4/mmm (No. 123)
Unique sites:
K 0.000 0.000 0.000
In 0.000 0.500 0.500
Cu 0.000 0.000 0.500
Hg 0.500 0.500 0.000

two.
KIn2CuHg | GGA-PBE | optimized geometry

Summary:
V = 143.3 Å³ per cell
total magnetization = 0.00 μB/cell

Lattice parameters (Å, degrees): 5.186 5.186 5.329 90.00 90.00 90.00
Space group P4/mmm (No. 123)
Unique sites:
K 0.000 0.000 0.000
In 0.000 0.500 0.500
Cu 0.500 0.500 0.500
Hg 0.500 0.500 0.000

two wins, 53 meV/atom ahead of the next structure.

one.
InCuHg2Pb | GGA-PBE | optimized geometry

Summary:
V = 174.5 Å³ per cell
total magnetization = 0.00 μB/cell

Lattice parameters (Å, degrees): 5.915 5.915 4.988 90.00 90.00 90.00
Space group P4/mmm (No. 123)
Unique sites:
In 0.000 0.000 0.000
Cu 0.500 0.500 0.000
Hg 0.000 0.500 0.500
Pb 0.500 0.500 0.500

two.
InCuHg2Pb | GGA-PBE | optimized geometry

Summary:
V = 133.6 Å³ per cell
total magnetization = 0.00 μB/cell

Lattice parameters (Å, degrees): 5.077 5.077 5.182 90.00 90.00 90.00
Space group P4/mmm (No. 123)
Unique sites:
In 0.000 0.000 0.000
Cu 0.000 0.000 0.500
Hg 0.000 0.500 0.500
Pb 0.500 0.500 0.000

two wins, 262 meV/atom ahead of the next structure.

one.
InCuSnHg2 | GGA-PBE | optimized geometry

Summary:
V = 134.5 Å³ per cell
total magnetization = 0.00 μB/cell

Lattice parameters (Å, degrees): 5.105 5.105 5.162 90.00 90.00 90.00
Space group P4/mmm (No. 123)
Unique sites:
In 0.000 0.000 0.000
Cu 0.500 0.500 0.500
Sn 0.500 0.500 0.000
Hg 0.000 0.500 0.500

two.
InCuSnHg2 | GGA-PBE | optimized geometry

Summary:
V = 160.9 Å³ per cell
total magnetization = 0.00 μB/cell

Lattice parameters (Å, degrees): 5.719 5.719 4.918 90.00 90.00 90.00
Space group P4/mmm (No. 123)
Unique sites:
In 0.000 0.000 0.000
Cu 0.500 0.500 0.000
Sn 0.500 0.500 0.500
Hg 0.000 0.500 0.500

one wins, 168 meV/atom ahead of the next structure.

one.
CuHgIr2 | GGA-PBE | optimized geometry

Summary:
V = 186.6 Å³ per cell
total magnetization = 0.00 μB/cell

Lattice parameters (Å, degrees): 2.8219 2.8219 27.0541 90.00 90.00 120.00
Space group R-3m (No. 166, hexagonal axes)
Unique sites:
Cu 0.0000 0.0000 0.0000
Hg 0.0000 0.0000 0.5000
Ir 0.0000 0.0000 0.2579

two.
CuHgIr2 | GGA-PBE | optimized geometry

Summary:
V = 126.3 Å³ per cell
total magnetization = 0.00 μB/cell

Lattice parameters (Å, degrees): 8.926 2.845 5.043 90.00 99.65 90.00
Space group Cm (No. 8)
Unique sites:
Cu 0.000 0.000 0.000
Hg 0.255 0.500 0.230
Ir 0.012 0.500 0.553
Ir 0.255 0.000 0.731

two wins, 52 meV/atom ahead of the next structure.

one.
CuHgIr2 | GGA-PBE | optimized geometry

Summary:
V = 62.7 Å³ per cell
total magnetization = 0.00 μB/cell

Lattice parameters (Å, degrees): 2.816 4.694 4.745 90.00 90.00 90.00
Space group Pmmm (No. 47)
Unique sites:
Cu 0.000 0.000 0.000
Hg 0.500 0.500 0.000
Ir 0.000 0.500 0.500
Ir 0.500 0.000 0.500

two.
CuHgIr2 | GGA-PBE | optimized geometry

Summary:
V = 276.4 Å³ per cell
total magnetization = 0.00 μB/cell

Lattice parameters (Å, degrees): 3.831 3.831 18.831 90.00 90.00 90.00
Space group I-42d (No. 122)
Unique sites:
Cu 0.000 0.000 0.000
Hg 0.000 0.000 0.500
Ir 0.203 0.250 0.125

three.
CuHgIr2 | GGA-PBE | optimized geometry

Summary:
V = 61.8 Å³ per cell
total magnetization = 0.01 μB/cell

Lattice parameters (Å, degrees): 2.870 2.870 7.506 90.00 90.00 90.00
Space group P4/mmm (No. 123)
Unique sites:
Cu 0.000 0.000 0.000
Hg 0.000 0.000 0.500
Ir 0.500 0.500 0.215

four.
CuHgIr2 | GGA-PBE | optimized geometry

Summary:
V = 62.5 Å³ per cell
total magnetization = 0.00 μB/cell

Lattice parameters (Å, degrees): 2.811 2.811 7.907 90.00 90.00 90.00
Space group P4mm (No. 99)
Unique sites:
Cu 0.000 0.000 0.000
Hg 0.500 0.500 0.263
Ir 0.000 0.000 0.548
Ir 0.500 0.500 0.771

four wins, 168 meV/atom ahead of the next structure.

one.
CuHgIr2 | GGA-PBE | optimized geometry

Summary:
V = 123.7 Å³ per cell
total magnetization = 0.00 μB/cell

Lattice parameters (Å, degrees): 9.314 2.812 4.823 90.00 101.71 90.00
Space group C2/m (No. 12)
Unique sites:
Cu 0.000 0.000 0.000
Hg 0.000 0.500 0.500
Ir 0.239 0.500 0.228

two.
CuHgIr2 | GGA-PBE | optimized geometry

Summary:
V = 251.2 Å³ per cell
total magnetization = 3.10 μB/cell

Lattice parameters (Å, degrees): 6.309 6.309 6.309 90.00 90.00 90.00
Space group F-43m (No. 216)
Unique sites:
Cu 0.000 0.000 0.000
Hg 0.250 0.250 0.750
Ir 0.000 0.000 0.500
Ir 0.250 0.250 0.250

three.
CuHgIr2 | GGA-PBE | optimized geometry

Summary:
V = 249.4 Å³ per cell
total magnetization = 2.32 μB/cell

Lattice parameters (Å, degrees): 6.295 6.295 6.295 90.00 90.00 90.00
Space group Fm-3m (No. 225)
Unique sites:
Cu 0.000 0.000 0.000
Hg 0.000 0.000 0.500
Ir 0.250 0.250 0.250

one wins, 214 meV/atom ahead of the next structure.

one.
CuHgIr2 | GGA-PBE | optimized geometry

Summary:
V = 63.3 Å³ per cell
total magnetization = 0.00 μB/cell

Lattice parameters (Å, degrees): 2.799 3.695 6.124 90.00 90.00 90.00
Space group Pmm2 (No. 25)
Unique sites:
Cu 0.000 0.000 0.000
Hg 0.500 0.500 0.259
Ir 0.000 0.000 0.565
Ir 0.500 0.500 0.770

two.
CuHgIr2 | GGA-PBE | optimized geometry

Summary:
V = 124.3 Å³ per cell
total magnetization = 0.00 μB/cell

Lattice parameters (Å, degrees): 4.053 4.053 7.564 90.00 90.00 90.00
Space group I-4m2 (No. 119)
Unique sites:
Cu 0.000 0.000 0.000
Hg 0.000 0.500 0.750
Ir 0.000 0.000 0.500
Ir 0.000 0.500 0.250

one wins, 156 meV/atom ahead of the next structure.